The following is a GGA-PBE calculation of an optimized crystal structure of CoIr2Pb, from Alexandria.

Output
Calculated density   16.7 g/cm³
Total DFT energy (no corrections)   -104.72 eV/cell
Fermi-level density of states   25.1 states/eV per cell
Energy relative to the elements   0.589 eV/atom

Lattice parameters (Å, degrees): 6.3667 6.3667 6.3667 90.00 90.00 90.00
Fractional coordinates of all 16 atoms:
Co 0.0000 0.0000 0.0000
Co 0.0000 0.5000 0.5000
Co 0.5000 0.0000 0.5000
Co 0.5000 0.5000 0.0000
Ir 0.0000 0.0000 0.5000
Ir 0.0000 0.5000 0.0000
Ir 0.2500 0.2500 0.2500
Ir 0.2500 0.7500 0.7500
Ir 0.5000 0.0000 0.0000
Ir 0.5000 0.5000 0.5000
Ir 0.7500 0.2500 0.7500
Ir 0.7500 0.7500 0.2500
Pb 0.2500 0.2500 0.7500
Pb 0.2500 0.7500 0.2500
Pb 0.7500 0.2500 0.2500
Pb 0.7500 0.7500 0.7500